#i
VASP calculation (PBE) on crystalline K2Al2Ag at its relaxed geometry.

Structure (POSCAR):
```
K2Al2Ag
1.0
-2.227 0.392 3.148
3.079 -0.658 2.260
2.533 10.355 2.889
Al K Ag
2 2 1
direct
0.250 0.750 0.500
0.750 0.250 0.500
0.601 0.601 0.798
0.399 0.399 0.202
0.000 0.000 0.000
```

Magnetization, μB per formula unit: 0.0
SG: No. 139
Density of states at the Fermi level, states/eV/cell: 1.602



#ii
VASP calculation (PBE) on crystalline K2Al2Ag at its relaxed geometry.

Structure (POSCAR):
```
K2Al2Ag
1.0
-5.744 -3.456 1.891
-0.564 -2.588 -6.442
3.344 -4.687 1.590
K Ag Al
4 2 4
direct
0.185 0.685 0.500
0.315 0.185 0.500
0.685 0.815 0.500
0.815 0.315 0.500
0.000 0.000 0.000
0.500 0.500 0.000
0.133 0.367 0.000
0.367 0.867 0.000
0.633 0.133 0.000
0.867 0.633 0.000
```

Magnetization, μB per formula unit: 0.0
SG: No. 127
Density of states at the Fermi level, states/eV/cell: 8.410



Which structure is the least stable? The one labeled #i.



#i
VASP calculation (PBE) on crystalline La6Al2Ag at its relaxed geometry.

Structure (POSCAR):
```
La6Al2Ag
1.0
-4.407 7.888 0.715
-4.845 -6.495 4.062
8.093 0.155 4.078
La Al Ag
12 4 2
direct
0.443 0.267 0.176
0.195 0.744 0.939
0.805 0.744 0.549
0.713 0.040 0.327
0.287 0.960 0.673
0.557 0.733 0.824
0.195 0.256 0.451
0.091 0.267 0.824
0.287 0.614 0.327
0.909 0.733 0.176
0.805 0.256 0.061
0.713 0.386 0.673
0.500 0.622 0.122
0.637 0.000 0.637
0.363 0.000 0.363
0.500 0.378 0.878
0.000 0.500 0.500
0.000 0.000 0.000
```

Magnetization, μB per formula unit: 0.0
SG: No. 71
Density of states at the Fermi level, states/eV/cell: 23.380



#ii
VASP calculation (PBE) on crystalline La6Al2Ag at its relaxed geometry.

Structure (POSCAR):
```
La6Al2Ag
1.0
-0.571 2.915 4.967
-9.166 0.522 -1.360
-1.303 -8.464 5.535
Al Ag La
4 2 12
direct
0.464 0.153 0.247
0.536 0.847 0.753
0.964 0.347 0.747
0.036 0.653 0.253
0.500 0.500 0.000
0.000 0.000 0.500
0.919 0.650 0.575
0.033 0.332 0.078
0.040 0.009 0.804
0.081 0.350 0.425
0.533 0.168 0.578
0.581 0.150 0.925
0.960 0.991 0.196
0.419 0.850 0.075
0.467 0.832 0.422
0.967 0.668 0.922
0.540 0.491 0.304
0.460 0.509 0.696
```

Magnetization, μB per formula unit: 0.0
SG: No. 14
Density of states at the Fermi level, states/eV/cell: 21.744



Which structure is the least stable? The one labeled #ii.



#i
VASP calculation (PBE) on crystalline La2AlAg2 at its relaxed geometry.

Structure (POSCAR):
```
La2AlAg2
1.0
-1.485 -3.535 0.194
3.469 -1.495 -0.684
2.687 -2.729 8.821
La Ag Al
2 2 1
direct
0.603 0.603 0.794
0.397 0.397 0.206
0.250 0.750 0.500
0.750 0.250 0.500
0.000 0.000 0.000
```

Magnetization, μB per formula unit: 0.0
SG: No. 139
Density of states at the Fermi level, states/eV/cell: 4.059



#ii
VASP calculation (PBE) on crystalline La2AlAg2 at its relaxed geometry.

Structure (POSCAR):
```
La2AlAg2
1.0
8.887 0.000 0.000
0.000 8.887 0.000
0.000 0.000 3.534
La Al Ag
4 2 4
direct
0.821 0.679 0.000
0.679 0.179 0.000
0.321 0.821 0.000
0.179 0.321 0.000
0.500 0.500 0.000
0.000 0.000 0.000
0.116 0.616 0.500
0.384 0.116 0.500
0.884 0.384 0.500
0.616 0.884 0.500
```

Magnetization, μB per formula unit: 0.0
SG: No. 127
Density of states at the Fermi level, states/eV/cell: 5.302



#iii
VASP calculation (PBE) on crystalline La2AlAg2 at its relaxed geometry.

Structure (POSCAR):
```
La2AlAg2
1.0
7.824 0.000 0.000
0.000 7.824 0.000
0.000 0.000 4.315
Ag La Al
4 4 2
direct
0.128 0.372 0.000
0.872 0.628 0.000
0.372 0.872 0.000
0.628 0.128 0.000
0.822 0.322 0.500
0.178 0.678 0.500
0.322 0.178 0.500
0.678 0.822 0.500
0.500 0.500 0.000
0.000 0.000 0.000
```

Magnetization, μB per formula unit: 0.0
SG: No. 127
Density of states at the Fermi level, states/eV/cell: 8.549



#iv
VASP calculation (PBE) on crystalline La2AlAg2 at its relaxed geometry.

Structure (POSCAR):
```
La2AlAg2
1.0
-3.222 -2.602 4.359
1.719 -5.417 -1.962
2.380 -3.881 3.589
La Al Ag
2 1 2
direct
0.750 0.250 0.500
0.250 0.750 0.500
0.000 0.000 0.000
0.664 0.664 0.672
0.336 0.336 0.328
```

Magnetization, μB per formula unit: 0.0
SG: No. 139
Density of states at the Fermi level, states/eV/cell: 5.760



Which structure is the least stable? The one labeled #ii.



#i
VASP calculation (PBE) on crystalline La2Al2Ag at its relaxed geometry.

Structure (POSCAR):
```
La2Al2Ag
1.0
4.841 0.000 0.000
-2.420 5.599 -1.906
0.000 -0.701 9.559
Al Ag La
4 2 4
direct
0.906 0.812 0.351
0.032 0.064 0.153
0.094 0.188 0.649
0.968 0.936 0.847
0.282 0.564 0.271
0.718 0.436 0.729
0.348 0.696 0.972
0.652 0.304 0.028
0.611 0.221 0.390
0.389 0.779 0.610
```

Magnetization, μB per formula unit: 0.0
SG: No. 12
Density of states at the Fermi level, states/eV/cell: 6.516



#ii
VASP calculation (PBE) on crystalline La2Al2Ag at its relaxed geometry.

Structure (POSCAR):
```
La2Al2Ag
1.0
7.153 0.000 0.000
0.000 7.153 0.000
0.000 0.000 5.002
La Ag Al
4 2 4
direct
0.168 0.668 0.500
0.668 0.832 0.500
0.332 0.168 0.500
0.832 0.332 0.500
0.500 0.500 0.000
0.000 0.000 0.000
0.135 0.365 0.000
0.865 0.635 0.000
0.635 0.135 0.000
0.365 0.865 0.000
```

Magnetization, μB per formula unit: 0.0
SG: No. 127
Density of states at the Fermi level, states/eV/cell: 19.712



Which structure is the least stable? The one labeled #ii.



#i
VASP calculation (PBE) on crystalline La4AlAg3 at its relaxed geometry.

Structure (POSCAR):
```
La4AlAg3
1.0
-1.976 -3.453 3.660
3.275 -2.172 3.712
-1.270 4.885 7.916
La Ag Al
4 3 1
direct
0.624 0.624 0.128
0.125 0.125 0.626
0.875 0.875 0.374
0.376 0.376 0.872
0.500 0.500 0.500
0.254 0.254 0.239
0.746 0.746 0.761
0.000 0.000 0.000
```

Magnetization, μB per formula unit: 0.0
SG: No. 166
Density of states at the Fermi level, states/eV/cell: 7.848



#ii
VASP calculation (PBE) on crystalline La4AlAg3 at its relaxed geometry.

Structure (POSCAR):
```
La4AlAg3
1.0
-2.458 3.023 -0.016
-3.128 -2.557 -2.713
-5.235 -4.205 10.000
La Al Ag
4 1 3
direct
0.000 0.000 0.150
0.000 0.500 0.851
0.500 0.000 0.645
0.500 0.500 0.352
0.500 0.500 0.072
0.500 0.000 0.932
0.000 0.500 0.571
0.000 0.000 0.428
```

Magnetization, μB per formula unit: 0.0
SG: No. 25
Density of states at the Fermi level, states/eV/cell: 9.112



Which structure is the least stable? The one labeled #ii.



#i
VASP calculation (PBE) on crystalline La2Al5Ag at its relaxed geometry.

Structure (POSCAR):
```
La2Al5Ag
1.0
-3.409 -0.745 -5.451
6.458 -0.425 -0.049
-0.112 -4.530 4.622
La Al Ag
2 5 1
direct
0.500 0.247 0.747
0.500 0.747 0.247
0.579 0.284 0.284
0.000 0.284 0.704
0.421 0.704 0.704
0.000 0.272 0.272
0.000 0.704 0.284
0.000 0.980 0.980
```

Magnetization, μB per formula unit: 0.0
SG: No. 107
Density of states at the Fermi level, states/eV/cell: 4.546



#ii
VASP calculation (PBE) on crystalline La2Al5Ag at its relaxed geometry.

Structure (POSCAR):
```
La2Al5Ag
1.0
4.516 0.000 0.000
-2.258 8.550 0.000
0.000 0.000 9.320
Al La Ag
10 4 2
direct
0.353 0.707 0.523
0.647 0.293 0.023
0.404 0.808 0.250
0.187 0.375 0.893
0.647 0.293 0.477
0.813 0.625 0.107
0.596 0.192 0.750
0.353 0.707 0.977
0.813 0.625 0.393
0.187 0.375 0.607
0.000 0.000 0.500
0.203 0.405 0.250
0.000 0.000 0.000
0.797 0.595 0.750
0.445 0.889 0.750
0.555 0.111 0.250
```

Magnetization, μB per formula unit: 0.0
SG: No. 63
Density of states at the Fermi level, states/eV/cell: 8.624



Which structure is the least stable? The one labeled #i.



#i
VASP calculation (PBE) on crystalline LaAlAg4 at its relaxed geometry.

Structure (POSCAR):
```
LaAlAg4
1.0
-2.353 -4.702 2.017
3.222 -4.445 1.256
0.802 -1.467 5.378
Ag La Al
4 1 1
direct
0.127 0.624 0.624
0.624 0.624 0.127
0.624 0.127 0.624
0.624 0.624 0.624
0.000 0.000 0.000
0.250 0.250 0.250
```

Magnetization, μB per formula unit: 0.0
SG: No. 216
Density of states at the Fermi level, states/eV/cell: 2.034



#ii
VASP calculation (PBE) on crystalline LaAlAg4 at its relaxed geometry.

Structure (POSCAR):
```
LaAlAg4
1.0
-2.933 -4.277 1.157
-0.052 -1.242 -4.667
9.602 -2.423 3.047
Al La Ag
2 2 8
direct
0.500 0.000 0.500
0.000 0.500 0.500
0.789 0.750 0.000
0.211 0.250 0.000
0.220 0.642 0.784
0.002 0.928 0.355
0.564 0.142 0.784
0.436 0.858 0.216
0.352 0.427 0.355
0.648 0.573 0.645
0.998 0.072 0.645
0.780 0.358 0.216
```

Magnetization, μB per formula unit: 0.0
SG: No. 2
Density of states at the Fermi level, states/eV/cell: 5.215



Which structure is the least stable? The one labeled #ii.



#i
VASP calculation (PBE) on crystalline La2Al5Ag3 at its relaxed geometry.

Structure (POSCAR):
```
La2Al5Ag3
1.0
4.365 0.000 0.000
0.000 4.365 0.000
0.000 0.000 11.439
Al Ag La
5 3 2
direct
0.500 0.500 0.500
0.500 0.500 0.000
0.000 0.500 0.134
0.000 0.000 0.000
0.500 0.000 0.866
0.500 0.000 0.644
0.000 0.000 0.500
0.000 0.500 0.356
0.000 0.500 0.764
0.500 0.000 0.236
```

Magnetization, μB per formula unit: 0.0
SG: No. 115
Density of states at the Fermi level, states/eV/cell: 6.369



#ii
VASP calculation (PBE) on crystalline La2Al5Ag3 at its relaxed geometry.

Structure (POSCAR):
```
La2Al5Ag3
1.0
0.156 -2.655 5.670
4.277 -7.783 -0.303
7.790 1.567 3.978
Al Ag La
10 6 4
direct
0.484 0.766 0.766
0.750 0.500 0.500
0.615 0.739 0.031
0.516 0.234 0.234
0.885 0.969 0.261
0.115 0.031 0.739
0.250 0.500 0.500
0.385 0.261 0.969
0.984 0.766 0.766
0.016 0.234 0.234
0.869 0.750 0.513
0.131 0.250 0.487
0.250 0.000 0.000
0.369 0.513 0.750
0.750 0.000 0.000
0.631 0.487 0.250
0.130 0.609 0.132
0.630 0.132 0.609
0.370 0.868 0.391
0.870 0.391 0.868
```

Magnetization, μB per formula unit: 0.0
SG: No. 72
Density of states at the Fermi level, states/eV/cell: 9.670



Which structure is the least stable? The one labeled #i.



#i
VASP calculation (PBE) on crystalline La3AlAg at its relaxed geometry.

Structure (POSCAR):
```
La3AlAg
1.0
5.777 0.000 0.000
0.000 5.777 0.000
0.000 0.000 5.777
La Ag Al
3 1 1
direct
0.000 0.000 0.500
0.500 0.000 0.000
0.000 0.500 0.000
0.500 0.500 0.500
0.000 0.000 0.000
```

Magnetization, μB per formula unit: 1.1
SG: No. 221
Density of states at the Fermi level, states/eV/cell: 8.643



#ii
VASP calculation (PBE) on crystalline La3AlAg at its relaxed geometry.

Structure (POSCAR):
```
La3AlAg
1.0
5.097 0.003 -1.529
-0.173 6.811 -0.567
-0.222 -0.325 8.500
La Al Ag
6 2 2
direct
0.416 0.330 0.866
0.046 0.557 0.124
0.998 0.022 0.030
0.808 0.656 0.650
0.236 0.923 0.505
0.628 0.248 0.288
0.607 0.773 0.246
0.437 0.805 0.908
0.816 0.177 0.665
0.228 0.401 0.489
```

Magnetization, μB per formula unit: 0.0
SG: No. 2
Density of states at the Fermi level, states/eV/cell: 10.413



Which structure is the least stable? The one labeled #i.



#i
VASP calculation (PBE) on crystalline LaTmAlAg at its relaxed geometry.

Structure (POSCAR):
```
LaTmAlAg
1.0
5.265 0.000 0.000
2.633 4.560 0.000
2.633 1.520 4.299
La Tm Ag Al
1 1 1 1
direct
0.500 0.500 0.500
0.000 0.000 0.000
0.250 0.250 0.250
0.750 0.750 0.750
```

Magnetization, μB per formula unit: 0.0
SG: No. 216
Density of states at the Fermi level, states/eV/cell: 3.769



#ii
VASP calculation (PBE) on crystalline LaTmAlAg at its relaxed geometry.

Structure (POSCAR):
```
LaTmAlAg
1.0
-0.197 2.931 2.098
2.034 -1.644 2.488
6.370 2.821 -3.344
Al Tm La Ag
1 1 1 1
direct
0.500 0.500 0.132
0.000 0.000 0.361
0.000 0.000 0.867
0.500 0.500 0.568
```

Magnetization, μB per formula unit: 0.0
SG: No. 99
Density of states at the Fermi level, states/eV/cell: 3.504



Which structure is the least stable? The one labeled #i.